First-principles (GGA-PBE) data for an optimized crystal structure of Ba2AgBr, as listed in the Alexandria database.

Calculated values
The value obtained for the density of states at the Fermi level is 4.324 states/eV per cell. For the energy above the most stable polymorph in this dataset, the calculation gives 0.705 eV per formula unit.

a = 5.930 Å, b = 5.930 Å, c = 5.930 Å
α = 60.00°, β = 60.00°, γ = 60.00°
Sites, in units of the cell vectors:
Ba  0.250  0.250  0.250
Ba  0.750  0.750  0.750
Br  0.000  0.000  0.000
Ag  0.500  0.500  0.500

***

First-principles (GGA-PBE) data for an optimized crystal structure of BaAg2Br5, as listed in the Alexandria database.

Calculated values
The value obtained for the density of states at the Fermi level is 6.279 states/eV per cell.

a = 8.029 Å, b = 8.029 Å, c = 10.044 Å
α = 113.56°, β = 113.56°, γ = 90.00°
Sites, in units of the cell vectors:
Ba  0.750  0.750  0.500
Ba  0.250  0.250  0.500
Ag  0.294  0.206  0.000
Ag  0.706  0.794  0.000
Ag  0.206  0.706  0.000
Ag  0.794  0.294  0.000
Br  0.026  0.526  0.697
Br  0.526  0.670  0.697
Br  0.830  0.974  0.303
Br  0.670  0.170  0.697
Br  0.474  0.330  0.303
Br  0.330  0.830  0.303
Br  0.974  0.474  0.303
Br  0.000  0.000  0.000
Br  0.170  0.026  0.697
Br  0.500  0.500  0.000

***

First-principles (GGA-PBE) data for an optimized crystal structure of BaAgBr2, as listed in the Alexandria database.

Calculated values
The value obtained for the density of states at the Fermi level is 1.449 states/eV per cell. For the energy above the most stable polymorph in this dataset, the calculation gives 0.330 eV per formula unit.

a = 10.005 Å, b = 10.005 Å, c = 10.005 Å
α = 27.94°, β = 27.94°, γ = 27.94°
Sites, in units of the cell vectors:
Ba  0.500  0.500  0.500
Br  0.891  0.891  0.891
Br  0.109  0.109  0.109
Ag  0.000  0.000  0.000

***

First-principles (GGA-PBE) data for an optimized crystal structure of BaAgBr, as listed in the Alexandria database.

Calculated values
For the energy above the most stable polymorph in this dataset, the calculation gives 0.567 eV per formula unit.

a = 5.484 Å, b = 5.484 Å, c = 5.484 Å
α = 60.00°, β = 60.00°, γ = 60.00°
Sites, in units of the cell vectors:
Ba  0.500  0.500  0.500
Br  0.750  0.750  0.750
Ag  0.000  0.000  0.000

***

First-principles (GGA-PBE) data for an optimized crystal structure of Ba2AgBr, as listed in the Alexandria database.

Calculated values
The value obtained for the density of states at the Fermi level is 4.258 states/eV per cell. For the energy above the most stable polymorph in this dataset, the calculation gives 0.673 eV per formula unit.

a = 6.017 Å, b = 6.017 Å, c = 6.017 Å
α = 126.77°, β = 114.15°, γ = 89.56°
Sites, in units of the cell vectors:
Ag  0.250  0.750  0.500
Ba  0.996  0.996  0.000
Ba  0.504  0.504  0.000
Br  0.750  0.250  0.500

***

First-principles (GGA-PBE) data for an optimized crystal structure of Ba6Ag3Br14, as listed in the Alexandria database.

Calculated values
The value obtained for the density of states at the Fermi level is 2.731 states/eV per cell.

a = 6.735 Å, b = 11.713 Å, c = 11.713 Å
α = 120.00°, β = 90.00°, γ = 90.00°
Sites, in units of the cell vectors:
Br  0.994  0.156  0.909
Br  0.220  0.936  0.438
Br  0.741  0.769  0.167
Br  0.994  0.091  0.247
Br  0.491  0.580  0.823
Br  0.994  0.753  0.844
Br  0.741  0.398  0.231
Br  0.220  0.502  0.064
Br  0.220  0.562  0.498
Br  0.936  0.333  0.667
Br  0.741  0.833  0.602
Br  0.491  0.177  0.756
Br  0.441  0.000  0.000
Br  0.491  0.244  0.420
Ba  0.246  0.805  0.106
Ba  0.742  0.438  0.967
Ba  0.246  0.894  0.699
Ba  0.742  0.529  0.562
Ba  0.742  0.033  0.471
Ba  0.246  0.301  0.195
Ag  0.841  0.000  0.000
Ag  0.335  0.333  0.667
Ag  0.489  0.667  0.333

***

First-principles (GGA-PBE) data for an optimized crystal structure of BaAg2BrCl, as listed in the Alexandria database.

Calculated values
The value obtained for the density of states at the Fermi level is 1.692 states/eV per cell.

a = 5.185 Å, b = 6.248 Å, c = 5.185 Å
α = 90.00°, β = 90.00°, γ = 90.00°
Sites, in units of the cell vectors:
Ba  0.000  0.500  0.000
Cl  0.000  0.000  0.000
Br  0.500  0.500  0.500
Ag  0.500  0.000  0.000
Ag  0.000  0.000  0.500

***

First-principles (GGA-PBE) data for an optimized crystal structure of Cs2BaAgBr5, as listed in the Alexandria database.

Calculated values
The value obtained for the density of states at the Fermi level is 0.000 states/eV per cell.

a = 4.836 Å, b = 10.658 Å, c = 15.278 Å
α = 90.00°, β = 90.00°, γ = 103.11°
Sites, in units of the cell vectors:
Cs  0.124  0.247  0.341
Cs  0.889  0.779  0.186
Cs  0.876  0.753  0.841
Cs  0.111  0.221  0.686
Br  0.684  0.369  0.883
Br  0.656  0.313  0.515
Br  0.494  0.989  0.767
Br  0.966  0.932  0.509
Br  0.701  0.403  0.170
Br  0.034  0.068  0.009
Br  0.344  0.687  0.015
Br  0.506  0.011  0.267
Br  0.316  0.631  0.383
Br  0.299  0.597  0.670
Ba  0.809  0.618  0.529
Ba  0.191  0.382  0.029
Ag  0.549  0.097  0.924
Ag  0.451  0.903  0.424

***

First-principles (GGA-PBE) data for an optimized crystal structure of Cs2BaAgBr6, as listed in the Alexandria database.

Calculated values
The value obtained for the density of states at the Fermi level is 4.064 states/eV per cell. For the energy above the most stable polymorph in this dataset, the calculation gives 0.000 eV per formula unit.

a = 6.120 Å, b = 6.120 Å, c = 11.509 Å
α = 90.00°, β = 90.00°, γ = 90.00°
Sites, in units of the cell vectors:
Ag  0.500  0.500  0.500
Br  0.000  0.500  0.000
Br  0.500  0.000  0.000
Br  0.000  0.500  0.500
Br  0.500  0.500  0.721
Br  0.500  0.500  0.279
Br  0.500  0.000  0.500
Ba  0.500  0.500  0.000
Cs  0.000  0.000  0.713
Cs  0.000  0.000  0.287

***

First-principles (GGA-PBE) data for an optimized crystal structure of CsBaAgBr4, as listed in the Alexandria database.

Calculated values
The value obtained for the density of states at the Fermi level is 0.000 states/eV per cell.

a = 7.622 Å, b = 7.659 Å, c = 10.053 Å
α = 90.00°, β = 109.03°, γ = 90.00°
Sites, in units of the cell vectors:
Cs  0.753  0.750  0.942
Cs  0.247  0.250  0.058
Ag  0.231  0.750  0.316
Ag  0.769  0.250  0.684
Br  0.555  0.250  0.410
Br  0.445  0.750  0.590
Br  0.977  0.489  0.282
Br  0.573  0.250  0.858
Br  0.977  0.011  0.282
Br  0.427  0.750  0.142
Br  0.023  0.511  0.718
Br  0.023  0.989  0.718
Ba  0.233  0.250  0.556
Ba  0.767  0.750  0.444

***

First-principles (GGA-PBE) data for an optimized crystal structure of Cs2BaAgBr6, as listed in the Alexandria database.

Calculated values
The value obtained for the density of states at the Fermi level is 9.622 states/eV per cell. For the energy above the most stable polymorph in this dataset, the calculation gives 0.044 eV per formula unit.

a = 8.397 Å, b = 8.397 Å, c = 8.334 Å
α = 59.75°, β = 59.75°, γ = 90.00°
Sites, in units of the cell vectors:
Br  0.269  0.269  0.463
Br  0.736  0.736  0.000
Br  0.731  0.731  0.537
Br  0.736  0.264  0.000
Br  0.264  0.264  0.000
Br  0.264  0.736  0.000
Cs  0.250  0.750  0.500
Cs  0.750  0.250  0.500
Ba  0.000  0.000  0.000
Ag  0.500  0.500  0.000

***

First-principles (GGA-PBE) data for an optimized crystal structure of Cs3BaAg2Br9, as listed in the Alexandria database.

Calculated values
The value obtained for the density of states at the Fermi level is 4.667 states/eV per cell.

a = 8.014 Å, b = 8.014 Å, c = 10.368 Å
α = 90.00°, β = 90.00°, γ = 120.00°
Sites, in units of the cell vectors:
Cs  0.000  0.000  0.000
Cs  0.333  0.667  0.706
Cs  0.667  0.333  0.294
Br  0.173  0.346  0.303
Br  0.346  0.173  0.697
Br  0.827  0.654  0.697
Br  0.500  0.500  0.000
Br  0.000  0.500  0.000
Br  0.827  0.173  0.697
Br  0.500  0.000  0.000
Br  0.654  0.827  0.303
Br  0.173  0.827  0.303
Ba  0.000  0.000  0.500
Ag  0.333  0.667  0.148
Ag  0.667  0.333  0.852

***

First-principles (GGA-PBE) data for an optimized crystal structure of CsBa3Ag4Br12, as listed in the Alexandria database.

Calculated values
The value obtained for the density of states at the Fermi level is 18.011 states/eV per cell.

a = 10.188 Å, b = 10.188 Å, c = 10.188 Å
α = 104.30°, β = 104.30°, γ = 104.30°
Sites, in units of the cell vectors:
Br  0.500  0.339  0.661
Br  0.356  0.008  0.227
Br  0.008  0.227  0.356
Br  0.661  0.500  0.339
Br  0.644  0.773  0.992
Br  0.339  0.661  0.500
Br  0.500  0.101  0.899
Br  0.992  0.644  0.773
Br  0.227  0.356  0.008
Br  0.101  0.899  0.500
Br  0.773  0.992  0.644
Br  0.899  0.500  0.101
Ag  0.500  0.500  0.500
Ag  0.500  0.932  0.068
Ag  0.068  0.500  0.932
Ag  0.932  0.068  0.500
Ba  0.552  0.448  0.000
Ba  0.448  0.000  0.552
Ba  0.000  0.552  0.448
Cs  0.000  0.000  0.000

***

First-principles (GGA-PBE) data for an optimized crystal structure of Cs2BaAg2Br7, as listed in the Alexandria database.

Calculated values
The value obtained for the density of states at the Fermi level is 4.930 states/eV per cell.

a = 5.508 Å, b = 5.508 Å, c = 14.762 Å
α = 79.25°, β = 79.25°, γ = 90.01°
Sites, in units of the cell vectors:
Ba  0.000  0.000  0.000
Ag  0.403  0.403  0.194
Ag  0.597  0.597  0.806
Br  0.418  0.918  0.164
Br  0.693  0.693  0.615
Br  0.582  0.082  0.836
Br  0.082  0.582  0.836
Br  0.307  0.307  0.385
Br  0.918  0.418  0.164
Br  0.500  0.500  0.000
Cs  0.179  0.179  0.642
Cs  0.821  0.821  0.358

***

First-principles (GGA-PBE) data for an optimized crystal structure of BaCuAgBr5, as listed in the Alexandria database.

Calculated values
The value obtained for the density of states at the Fermi level is 7.688 states/eV per cell.

a = 7.904 Å, b = 7.904 Å, c = 9.751 Å
α = 102.01°, β = 102.01°, γ = 113.07°
Sites, in units of the cell vectors:
Cu  0.343  0.657  0.750
Cu  0.657  0.343  0.250
Br  0.711  0.633  0.436
Br  0.139  0.680  0.903
Br  0.680  0.139  0.403
Br  0.077  0.923  0.250
Br  0.923  0.077  0.750
Br  0.861  0.320  0.097
Br  0.367  0.289  0.064
Br  0.289  0.367  0.564
Br  0.320  0.861  0.597
Br  0.633  0.711  0.936
Ba  0.674  0.326  0.750
Ba  0.326  0.674  0.250
Ag  0.000  0.000  0.500
Ag  0.000  0.000  0.000

***

First-principles (GGA-PBE) data for an optimized crystal structure of BaCu2AgBr8, as listed in the Alexandria database.

Calculated values
The value obtained for the density of states at the Fermi level is 10.052 states/eV per cell.

a = 7.618 Å, b = 7.618 Å, c = 8.651 Å
α = 90.00°, β = 90.00°, γ = 120.00°
Sites, in units of the cell vectors:
Br  0.160  0.840  0.800
Br  0.160  0.320  0.800
Br  0.680  0.840  0.800
Br  0.840  0.680  0.200
Br  0.320  0.160  0.200
Br  0.667  0.333  0.553
Br  0.840  0.160  0.200
Br  0.333  0.667  0.447
Cu  0.667  0.333  0.286
Cu  0.333  0.667  0.714
Ba  0.000  0.000  0.500
Ag  0.000  0.000  0.000

***

First-principles (GGA-PBE) data for an optimized crystal structure of BaCuAgBr2, as listed in the Alexandria database.

Calculated values
The value obtained for the density of states at the Fermi level is 0.318 states/eV per cell.

a = 5.523 Å, b = 5.036 Å, c = 5.523 Å
α = 90.00°, β = 90.00°, γ = 90.00°
Sites, in units of the cell vectors:
Ba  0.500  0.500  0.500
Br  0.000  0.000  0.500
Br  0.500  0.000  0.000
Ag  0.000  0.000  0.000
Cu  0.000  0.500  0.000

***

First-principles (GGA-PBE) data for an optimized crystal structure of BaErAgBr6, as listed in the Alexandria database.

Calculated values
The value obtained for the density of states at the Fermi level is 0.000 states/eV per cell.

a = 7.354 Å, b = 7.354 Å, c = 14.076 Å
α = 90.00°, β = 90.00°, γ = 120.00°
Sites, in units of the cell vectors:
Br  0.369  0.013  0.135
Br  0.631  0.987  0.865
Br  0.987  0.631  0.365
Br  0.369  0.356  0.365
Br  0.644  0.013  0.365
Br  0.356  0.369  0.865
Br  0.987  0.356  0.135
Br  0.356  0.987  0.635
Br  0.644  0.631  0.135
Br  0.013  0.369  0.635
Br  0.013  0.644  0.865
Br  0.631  0.644  0.635
Er  0.333  0.667  0.750
Er  0.667  0.333  0.250
Ba  0.000  0.000  0.500
Ba  0.000  0.000  0.000
Ag  0.333  0.667  0.250
Ag  0.667  0.333  0.750

***

First-principles (GGA-PBE) data for an optimized crystal structure of BaHfAg2Br8, as listed in the Alexandria database.

Calculated values
The value obtained for the density of states at the Fermi level is 0.000 states/eV per cell.

a = 6.940 Å, b = 7.506 Å, c = 9.159 Å
α = 69.50°, β = 91.03°, γ = 99.64°
Sites, in units of the cell vectors:
Br  0.428  0.265  0.429
Br  0.865  0.202  0.144
Br  0.905  0.243  0.728
Br  0.095  0.757  0.272
Br  0.135  0.798  0.856
Br  0.658  0.783  0.024
Br  0.572  0.735  0.571
Br  0.342  0.217  0.976
Hf  0.000  0.000  0.000
Ag  0.489  0.666  0.308
Ag  0.511  0.334  0.692
Ba  0.000  0.000  0.500

***

First-principles (GGA-PBE) data for an optimized crystal structure of BaHoAgBr6, as listed in the Alexandria database.

Calculated values
The value obtained for the density of states at the Fermi level is 0.000 states/eV per cell.

a = 7.363 Å, b = 7.363 Å, c = 14.087 Å
α = 90.00°, β = 90.00°, γ = 120.00°
Sites, in units of the cell vectors:
Ho  0.667  0.333  0.250
Ho  0.333  0.667  0.750
Br  0.632  0.988  0.865
Br  0.356  0.368  0.865
Br  0.368  0.012  0.135
Br  0.988  0.356  0.135
Br  0.012  0.644  0.865
Br  0.368  0.356  0.365
Br  0.644  0.012  0.365
Br  0.644  0.632  0.135
Br  0.356  0.988  0.635
Br  0.632  0.644  0.635
Br  0.988  0.632  0.365
Br  0.012  0.368  0.635
Ag  0.667  0.333  0.750
Ag  0.333  0.667  0.250
Ba  0.000  0.000  0.000
Ba  0.000  0.000  0.500

***

| no. | formation energy (no corrections) (eV per atom) | magnetization (μB per cell) | raw total energy (eV per cell) |
| --- | --- | --- | --- |
| 1 | -0.738 | 0.5 | -11.32 |
| 2 | -0.954 | 0.0 | -47.25 |
| 3 | -1.053 | 0.0 | -12.33 |
| 4 | -0.757 | 0.0 | -8.72 |
| 5 | -0.746 | 0.0 | -11.35 |
| 6 | -1.671 | 0.9 | -81.95 |
| 7 | -0.492 | 0.0 | -13.60 |
| 8 | -1.608 | 0.0 | -58.64 |
| 9 | -1.389 | 0.0 | -30.40 |
| 10 | -1.551 | 0.0 | -46.36 |
| 11 | -1.384 | 0.0 | -30.36 |
| 12 | -1.226 | 0.0 | -43.62 |
| 13 | -1.234 | 0.0 | -62.79 |
| 14 | -1.259 | 0.0 | -36.15 |
| 15 | -0.988 | 0.0 | -50.28 |
| 16 | -0.652 | 0.0 | -34.18 |
| 17 | -0.582 | 0.0 | -15.13 |
| 18 | -1.611 | 0.0 | -67.75 |
| 19 | -1.219 | 0.0 | -45.59 |
| 20 | -1.613 | 0.0 | -67.81 |